[1]
Material: Sm4Pt2Cl3
Method: DFT, PBE
State: relaxed

a b c (Å): 4.078 4.078 17.793
angles (deg): 90.02 89.98 120.01
Fractional coordinates of all 9 atoms:
Sm  0.334  0.666  0.879
Sm  0.000  0.000  0.306
Sm  0.000  0.000  0.694
Sm  0.666  0.334  0.121
Pt  0.667  0.333  0.791
Pt  0.333  0.667  0.209
Cl  0.666  0.334  0.402
Cl  0.000  0.000  0.000
Cl  0.334  0.666  0.598

## Properties
The uncorrected formation energy is -1533 meV/atom. The calculation puts the magnetic moment at 0.0 Bohr magnetons per cell.

---

[2]
Material: Hf3ScTl
Method: DFT, PBE
State: relaxed

a b c (Å): 5.047 5.047 5.047
angles (deg): 90.00 90.00 90.00
Fractional coordinates of all 5 atoms:
Sc  0.000  0.000  0.000
Tl  0.500  0.500  0.500
Hf  0.000  0.500  0.000
Hf  0.000  0.000  0.500
Hf  0.500  0.000  0.000

## Properties
The calculation puts the magnetic moment at 0.0 Bohr magnetons per cell. Its formation energy is 1233 meV per atom.

---

[3]
Material: Be15Nb2Cr2
Method: DFT, PBE
State: relaxed

a b c (Å): 5.651 5.651 5.651
angles (deg): 84.74 84.74 84.74
Fractional coordinates of all 19 atoms:
Be  0.500  0.000  0.000
Be  0.000  0.000  0.500
Be  0.000  0.500  0.000
Be  0.000  0.706  0.294
Be  0.706  0.294  0.000
Be  0.294  0.000  0.706
Be  0.294  0.706  0.000
Be  0.706  0.000  0.294
Be  0.000  0.294  0.706
Be  0.159  0.653  0.653
Be  0.653  0.653  0.159
Be  0.653  0.159  0.653
Be  0.841  0.347  0.347
Be  0.347  0.347  0.841
Be  0.347  0.841  0.347
Nb  0.349  0.349  0.349
Nb  0.651  0.651  0.651
Cr  0.096  0.096  0.096
Cr  0.904  0.904  0.904

## Properties
The calculation puts the magnetic moment at 0.0 Bohr magnetons per cell. Its formation energy is -164 meV per atom.